Computed, not measured: crystalline Mn2CrRu6 at its relaxed geometry at the PBE level of DFT.

Formation enthalpy at 0 K = 5.66 kcal/mol of atoms
E = -81.41 eV/f.u.
N(E_F) = 1.1228 states/eV/atom

a b c (Å): 5.0900 7.3871 7.3871
angles (deg): 64.83 82.16 82.16
With the nearest neighbours (Å) after each atom.
Element x y z (fractional)
Mn 0.6059 0.6394 0.7070  8 Ru 2.54-2.82, 2 Mn 2.60
Ru 0.4908 0.6743 0.3427  1 Cr 2.48, 6 Ru 2.49-2.72, 2 Mn 2.61-2.73
Ru 0.2045 0.0158 0.2678  1 Cr 2.32
Ru 0.9908 0.3427 0.6743  1 Cr 2.48, 6 Ru 2.49-2.72, 2 Mn 2.61-2.73
Ru 0.2955 0.7322 0.9842  1 Cr 2.32
Ru 0.7064 0.9569 0.3960  1 Cr 2.49, 2 Mn 2.54-2.68, 7 Ru 2.60-2.77
Ru 0.0092 0.6573 0.3257  1 Cr 2.48, 6 Ru 2.49-2.72, 2 Mn 2.61-2.73
Mn 0.8941 0.2930 0.3606  8 Ru 2.54-2.82, 2 Mn 2.60
Cr 0.2500 0.0677 0.9323  6 Ru 2.32-2.49
Ru 0.7936 0.6040 0.0431  1 Cr 2.49, 2 Mn 2.54-2.68, 7 Ru 2.60-2.77
Cr 0.7500 0.9323 0.0677  6 Ru 2.32-2.49
Ru 0.7045 0.2678 0.0158  1 Cr 2.32
Ru 0.5092 0.3257 0.6573  1 Cr 2.48, 6 Ru 2.49-2.72, 2 Mn 2.61-2.73
Ru 0.7955 0.9842 0.7322  1 Cr 2.32
Ru 0.2936 0.0431 0.6040  1 Cr 2.49, 2 Mn 2.54-2.68, 7 Ru 2.60-2.77
Mn 0.1059 0.7070 0.6394  8 Ru 2.54-2.82, 2 Mn 2.60
Mn 0.3941 0.3606 0.2930  8 Ru 2.54-2.82, 2 Mn 2.60
Ru 0.2064 0.3960 0.9569  1 Cr 2.49, 2 Mn 2.54-2.68, 7 Ru 2.60-2.77